Material: CoBiAsO
Method: DFT, GGA+U
State: optimized geometry

## Properties
VASP energy: -5.001 eV/atom
energy relative to the lowest polymorph listed for this composition: 0 meV per atom

Unit cell a=3.870 b=3.870 c=9.371 alpha=90.00 beta=90.00 gamma=90.00
Each line ends with the local moment (μB).
Fractional positions:
As 0.500 0.000 0.669  -0.01
As 0.000 0.500 0.331  -0.01
Co 0.500 0.500 0.500  2.17
Co 0.000 0.000 0.500  2.17
O 0.500 0.500 0.000  0.02
O 0.000 0.000 0.000  0.02
Bi 0.500 0.000 0.139  0.02
Bi 0.000 0.500 0.861  0.02